An optimized crystal structure of Cs2BiAs, computed with PBE.

Values from the calculation:
volume = 43.68 Å³ per atom
relative energy among the computed polymorphs = 567 meV/atom
energy of formation from the pure elements = 0.1889 eV/atom

The structure in POSCAR format:
```
Cs2BiAs
1.0
-3.3413 0.4785 5.2898
-4.7104 4.1289 0.3730
-5.9387 -2.0207 0.1534
Cs As Bi
2 1 1
Direct
0.2500 0.2500 0.2500 Cs
0.7500 0.7500 0.7500 Cs
0.0000 0.0000 0.0000 As
0.5000 0.5000 0.5000 Bi
```